[1]
HfZr3Mn: optimized geometry, PBE-GGA.

Properties
As for the formation enthalpy at 0 K: 1694 meV/atom. Its energy relative to the lowest polymorph listed for this composition is 1300 meV per atom. The raw total energy comes out at -7.2591 eV per atom. The value obtained for the density of states at the Fermi level is 7.544 states/eV/cell.

Cell lengths 5.086, 5.086, 5.086 Å; angles 90.00, 90.00, 90.00 degrees
Space group Pm-3m (No. 221)
One atom of each set of equivalent atoms:
Hf1 0.000 0.000 0.000 x1
Zr1 0.000 0.000 0.500 x3
Mn1 0.500 0.500 0.500 x1

[2]
ScNiH2Ir: optimized geometry, PBE-GGA.

Properties
The raw total energy comes out at -5.0910 eV per atom. The value obtained for the density of states at the Fermi level is 5.049 states/eV/cell.

Cell lengths 3.527, 3.527, 5.244 Å; angles 90.00, 90.00, 90.00 degrees
Space group P4/mmm (No. 123)
One atom of each set of equivalent atoms:
Sc1 0.000 0.000 0.000 x1
Ni1 0.000 0.000 0.500 x1
H1 0.000 0.500 0.000 x2
Ir1 0.500 0.500 0.500 x1

Question: Which of these has the highest raw total energy?
Answer: ScNiH2Ir

Question: Which of these has the highest raw total energy?
Answer: ScNiH2Ir